(1)
# Al4Cr2Ir

A relaxed Al4Cr2Ir crystal (GGA-PBE, Alexandria).

## Properties
The value obtained for the formation enthalpy at 0 K is 0.347 eV/atom. As for the density of states at the Fermi level: 6.32 states/eV/cell. As for the magnetic moment: 8.32 μB/f.u.

a = 4.656 Å, b = 4.656 Å, c = 13.104 Å
α = 90.00°, β = 90.00°, γ = 90.00°
Space group I4/mmm (No. 139)
One atom of each set of equivalent atoms:
Al 0.000 0.000 0.189
Al 0.000 0.500 0.000
Cr 0.000 0.000 0.384
Ir 0.000 0.000 0.000

***

(2)
# Ti2SbHIr

A relaxed Ti2SbHIr crystal (GGA-PBE, Alexandria).

## Properties
As for the density of states at the Fermi level: 3.66 states/eV/cell. As for the magnetic moment: 0.00 μB/f.u. Its total energy is -6.8668 eV per atom.

a = 4.115 Å, b = 4.115 Å, c = 4.062 Å
α = 90.00°, β = 90.00°, γ = 90.00°
Space group P4/mmm (No. 123)
One atom of each set of equivalent atoms:
Ti 0.000 0.500 0.000
Sb 0.000 0.000 0.500
H 0.500 0.500 0.000
Ir 0.500 0.500 0.500